Record 1
Here is a relaxed structure of VCuAg from Alexandria. Energies are from PBE.

It has space group Cmm2 (No. 35), with a = 3.443 Å, b = 4.079 Å, c = 12.411 Å, α = 90.00°, β = 90.00° and γ = 90.00°. Symmetry generates all atoms from V at (0.000, 0.000, 0.000), V at (0.000, 0.500, 0.159), Cu at (0.000, 0.000, 0.701), Cu at (0.000, 0.500, 0.845), Ag at (0.000, 0.000, 0.341) and Ag at (0.000, 0.500, 0.533).

Its energy relative to the elements is 41 kJ/mol of formula units. The value obtained for the theoretical density is 8.48 g/cm3.


Record 2
Here is a relaxed structure of PmTlCd6 from Alexandria. Energies are from PBE.

It has space group Amm2 (No. 38), with a = 4.875 Å, b = 7.796 Å, c = 10.379 Å, α = 90.00°, β = 90.00° and γ = 90.00°. Symmetry generates all atoms from Pm at (0.000, 0.000, 0.000), Tl at (0.500, 0.000, 0.230), Cd at (0.000, 0.000, 0.430), Cd at (0.000, 0.195, 0.711), Cd at (0.500, 0.000, 0.800) and Cd at (0.500, 0.206, 0.510).

Its energy relative to the elements is -104 kJ/mol of formula units. The value obtained for the theoretical density is 8.62 g/cm3.


Record 3
Here is a relaxed structure of CaPr2Sm6 from Alexandria. Energies are from PBE.

It has space group P-1 (No. 2), with a = 7.382 Å, b = 9.165 Å, c = 9.754 Å, α = 103.19°, β = 100.86° and γ = 90.04°. Symmetry generates all atoms from Ca at (0.213, 0.334, 0.354), Pr at (0.379, 0.334, 0.016), Pr at (0.420, 0.996, 0.166), Sm at (0.045, 0.327, 0.688), Sm at (0.086, 0.003, 0.835), Sm at (0.122, 0.667, 0.984), Sm at (0.248, 0.991, 0.503), Sm at (0.285, 0.670, 0.651) and Sm at (0.452, 0.671, 0.316).

Its energy relative to the elements is 28 kJ/mol of formula units. The value obtained for the theoretical density is 6.45 g/cm3.


Record 4
Here is a relaxed structure of Pm2PaNiS5 from Alexandria. Energies are from PBE.

It has space group Cmc2_1 (No. 36), with a = 3.819 Å, b = 16.400 Å, c = 11.997 Å, α = 90.00°, β = 90.00° and γ = 90.00°. Symmetry generates all atoms from Pm at (0.000, 0.112, 0.000), Pm at (0.000, 0.115, 0.347), Pa at (0.000, 0.177, 0.675), Ni at (0.000, 0.443, 0.070), S at (0.000, 0.018, 0.662), S at (0.000, 0.304, 0.340), S at (0.000, 0.313, 0.012), S at (0.000, 0.343, 0.672) and S at (0.000, 0.495, 0.403).

The uncorrected formation energy comes out at -1.6684 eV per atom. The value obtained for the theoretical density is 6.54 g/cm3.